Ca5Pr3H12 after structural relaxation, computed with GGA-PBE.

Geometry as POSCAR:
```
Ca5Pr3H12
1.0
-6.787 6.787 6.787
6.787 -6.787 6.787
6.787 6.787 -6.787
Ca Pr H
20 12 48
direct
0.000 0.000 0.000
0.000 0.000 0.500
0.000 0.500 0.000
0.000 0.500 0.500
0.125 0.750 0.875
0.125 0.875 0.250
0.250 0.125 0.875
0.250 0.625 0.375
0.375 0.250 0.625
0.375 0.625 0.750
0.500 0.000 0.000
0.500 0.000 0.500
0.500 0.500 0.000
0.500 0.500 0.500
0.625 0.375 0.250
0.625 0.750 0.375
0.750 0.375 0.625
0.750 0.875 0.125
0.875 0.125 0.750
0.875 0.250 0.125
0.125 0.250 0.375
0.125 0.375 0.750
0.250 0.375 0.125
0.250 0.875 0.625
0.375 0.125 0.250
0.375 0.750 0.125
0.625 0.250 0.875
0.625 0.875 0.750
0.750 0.125 0.375
0.750 0.625 0.875
0.875 0.625 0.250
0.875 0.750 0.625
0.060 0.224 0.144
0.060 0.336 0.916
0.080 0.724 0.664
0.080 0.856 0.416
0.084 0.644 0.420
0.084 0.940 0.664
0.144 0.060 0.224
0.144 0.584 0.920
0.164 0.224 0.580
0.164 0.440 0.584
0.224 0.144 0.060
0.224 0.580 0.164
0.276 0.336 0.920
0.276 0.440 0.356
0.336 0.916 0.060
0.336 0.920 0.276
0.356 0.276 0.440
0.356 0.580 0.916
0.416 0.080 0.856
0.416 0.836 0.560
0.420 0.084 0.644
0.420 0.836 0.776
0.440 0.356 0.276
0.440 0.584 0.164
0.560 0.416 0.836
0.560 0.644 0.724
0.580 0.164 0.224
0.580 0.916 0.356
0.584 0.164 0.440
0.584 0.920 0.144
0.644 0.420 0.084
0.644 0.724 0.560
0.664 0.080 0.724
0.664 0.084 0.940
0.724 0.560 0.644
0.724 0.664 0.080
0.776 0.420 0.836
0.776 0.856 0.940
0.836 0.560 0.416
0.836 0.776 0.420
0.856 0.416 0.080
0.856 0.940 0.776
0.916 0.060 0.336
0.916 0.356 0.580
0.920 0.144 0.584
0.920 0.276 0.336
0.940 0.664 0.084
0.940 0.776 0.856
```

Results
Raw total energy: -3.6391 eV per atom
Density: 3.37 g cm⁻³